(1)
Cs2KSbH: optimized geometry, GGA-PBE.

The structure in POSCAR format:
```
Cs2KSbH
1.0
-2.598 -5.481 -0.373
5.359 -2.438 -1.504
1.089 -0.877 5.302
Cs H K Sb
2 1 1 1
Direct
0.000 0.500 0.000 Cs
0.500 0.000 0.000 Cs
0.000 0.000 0.000 H
0.000 0.000 0.500 K
0.500 0.500 0.500 Sb
```

---

(2)
CsK2Sb2H2: optimized geometry, GGA-PBE.

The structure in POSCAR format:
```
CsK2Sb2H2
1.0
-6.243 0.204 -2.709
3.286 -3.455 0.723
-4.038 -4.749 8.949
Sb H K Cs
2 2 2 1
Direct
0.686 0.373 0.733 Sb
0.314 0.627 0.267 Sb
0.560 0.120 0.169 H
0.440 0.880 0.831 H
0.772 0.545 0.378 K
0.228 0.455 0.622 K
0.000 0.000 0.000 Cs
```

---

(3)
Cs2KHSe: optimized geometry, GGA-PBE.

The structure in POSCAR format:
```
Cs2KHSe
1.0
-0.198 5.522 1.674
-5.219 0.543 -2.407
-2.275 -1.476 4.600
Cs K Se H
2 1 1 1
Direct
0.500 0.000 0.000 Cs
0.000 0.500 0.000 Cs
0.000 0.000 0.500 K
0.500 0.500 0.500 Se
0.000 0.000 0.000 H
```

---

(4)
Cs2KSiH6: optimized geometry, GGA-PBE.

The structure in POSCAR format:
```
Cs2KSiH6
1.0
6.675 0.000 0.000
0.000 6.175 0.000
0.000 -3.087 5.348
H Si Cs K
6 1 2 1
Direct
0.857 0.124 0.876 H
0.143 0.876 0.124 H
0.143 0.248 0.124 H
0.857 0.124 0.248 H
0.857 0.752 0.876 H
0.143 0.876 0.752 H
0.000 0.000 0.000 Si
0.850 0.667 0.333 Cs
0.150 0.333 0.667 Cs
0.500 0.000 0.000 K
```

---

(5)
Cs2KSn2H6: optimized geometry, GGA-PBE.

The structure in POSCAR format:
```
Cs2KSn2H6
1.0
6.032 0.000 0.000
-3.016 5.222 -0.266
0.000 -3.101 7.815
Cs H Sn K
2 6 2 1
Direct
0.291 0.582 0.872 Cs
0.709 0.418 0.128 Cs
0.221 0.443 0.230 H
0.222 0.008 0.230 H
0.778 0.992 0.770 H
0.779 0.557 0.770 H
0.214 0.992 0.770 H
0.786 0.008 0.230 H
0.874 0.749 0.623 Sn
0.126 0.251 0.377 Sn
0.500 0.000 0.500 K
```

---

(6)
CsKSrH4: optimized geometry, GGA-PBE.

The structure in POSCAR format:
```
CsKSrH4
1.0
4.744 0.000 0.000
0.000 4.744 0.000
-2.372 -2.372 7.522
Cs H Sr K
1 4 1 1
Direct
0.651 0.651 0.303 Cs
0.168 0.168 0.336 H
0.993 0.493 0.986 H
0.493 0.993 0.986 H
0.840 0.840 0.681 H
0.000 0.000 0.001 Sr
0.354 0.354 0.708 K
```

---

(7)
CsK2TeH: optimized geometry, GGA-PBE.

The structure in POSCAR format:
```
CsK2TeH
1.0
-5.317 -0.626 1.401
1.580 -1.396 5.374
-0.244 5.333 1.457
H Cs Te K
1 1 1 2
Direct
0.000 0.000 0.000 H
0.000 0.500 0.000 Cs
0.500 0.500 0.500 Te
0.500 0.000 0.000 K
0.000 0.000 0.500 K
```

---

(8)
Cs2KTeH: optimized geometry, GGA-PBE.

The structure in POSCAR format:
```
Cs2KTeH
1.0
-5.002 1.341 -2.869
-2.448 -5.039 1.913
-1.889 2.635 4.524
H Cs K Te
1 2 1 1
Direct
0.000 0.000 0.000 H
0.000 0.500 0.000 Cs
0.500 0.000 0.000 Cs
0.000 0.000 0.500 K
0.500 0.500 0.500 Te
```

---

(9)
Cs2KTlH: optimized geometry, GGA-PBE.

The structure in POSCAR format:
```
Cs2KTlH
1.0
6.261 0.000 0.000
0.000 6.261 0.000
0.000 0.000 5.930
Tl K Cs H
1 1 2 1
Direct
0.000 0.000 0.500 Tl
0.500 0.500 0.500 K
0.000 0.500 0.000 Cs
0.500 0.000 0.000 Cs
0.000 0.000 0.000 H
```

relative energy among the computed polymorphs = 81.7 meV/atom

---

(10)
Cs2KTlH: optimized geometry, GGA-PBE.

The structure in POSCAR format:
```
Cs2KTlH
1.0
-4.405 2.585 -3.600
-4.124 -4.250 1.994
-1.481 3.449 4.288
Cs Tl H K
2 1 1 1
Direct
0.000 0.500 0.000 Cs
0.500 0.000 0.000 Cs
0.500 0.500 0.500 Tl
0.000 0.000 0.000 H
0.000 0.000 0.500 K
```

relative energy among the computed polymorphs = 0.0 meV/atom

---

(11)
Cs2KVH6: optimized geometry, GGA-PBE.

The structure in POSCAR format:
```
Cs2KVH6
1.0
6.453 0.000 0.000
3.226 5.588 0.000
3.226 1.863 10.692
H Cs V K
12 4 2 2
Direct
0.164 0.770 0.902 H
0.400 0.400 0.401 H
0.800 0.400 0.401 H
0.600 0.600 0.599 H
0.836 0.230 0.098 H
0.200 0.600 0.599 H
0.600 0.200 0.599 H
0.230 0.836 0.098 H
0.400 0.800 0.401 H
0.770 0.164 0.902 H
0.836 0.836 0.098 H
0.164 0.164 0.902 H
0.280 0.280 0.159 Cs
0.720 0.720 0.841 Cs
0.130 0.130 0.610 Cs
0.870 0.870 0.390 Cs
0.000 0.000 0.000 V
0.500 0.500 0.500 V
0.601 0.601 0.198 K
0.399 0.399 0.802 K
```

---

(12)
CsK3Zn2H8: optimized geometry, GGA-PBE.

The structure in POSCAR format:
```
CsK3Zn2H8
1.0
5.743 0.000 0.000
-2.871 4.973 0.000
0.000 0.000 9.714
Cs Zn K H
1 2 3 8
Direct
0.000 0.000 0.500 Cs
0.667 0.333 0.794 Zn
0.333 0.667 0.206 Zn
0.000 0.000 0.000 K
0.333 0.667 0.781 K
0.667 0.333 0.219 K
0.825 0.649 0.742 H
0.175 0.351 0.258 H
0.175 0.825 0.258 H
0.351 0.175 0.742 H
0.649 0.825 0.258 H
0.825 0.175 0.742 H
0.333 0.667 0.036 H
0.667 0.333 0.964 H
```

---

(13)
CsKZnH2: optimized geometry, GGA-PBE.

The structure in POSCAR format:
```
CsKZnH2
1.0
-5.347 -0.331 0.333
0.396 -0.460 5.916
-0.304 5.341 0.436
K Zn H Cs
1 1 2 1
Direct
0.000 0.000 0.000 K
0.000 0.500 0.000 Zn
0.500 0.000 0.000 H
0.000 0.000 0.500 H
0.500 0.500 0.500 Cs
```

---

(14)
Cs2KZnH: optimized geometry, GGA-PBE.

The structure in POSCAR format:
```
Cs2KZnH
1.0
6.211 0.000 0.000
0.000 6.211 0.000
0.000 0.000 5.652
Zn Cs H K
1 2 1 1
Direct
0.500 0.500 0.500 Zn
0.000 0.500 0.000 Cs
0.500 0.000 0.000 Cs
0.000 0.000 0.000 H
0.000 0.000 0.500 K
```

---

(15)
Cs2KZnH5: optimized geometry, GGA-PBE.

The structure in POSCAR format:
```
Cs2KZnH5
1.0
-2.350 4.941 -3.635
1.419 -4.138 -6.542
-7.211 -3.126 0.413
Cs K H Zn
4 2 10 2
Direct
0.500 0.170 0.330 Cs
0.500 0.830 0.670 Cs
0.500 0.330 0.830 Cs
0.500 0.670 0.170 Cs
0.000 0.000 0.000 K
0.000 0.500 0.500 K
0.500 0.500 0.500 H
0.809 0.614 0.886 H
0.191 0.386 0.114 H
0.809 0.114 0.614 H
0.191 0.886 0.386 H
0.191 0.614 0.886 H
0.191 0.114 0.614 H
0.809 0.386 0.114 H
0.500 0.000 0.000 H
0.809 0.886 0.386 H
0.000 0.000 0.500 Zn
0.000 0.500 0.000 Zn
```

---

(16)
CsLaH2: optimized geometry, GGA-PBE.

The structure in POSCAR format:
```
CsLaH2
1.0
4.051 0.003 -0.006
1.997 3.526 -0.007
0.829 0.717 7.973
H La Cs
2 1 1
Direct
0.337 0.989 0.675 H
0.690 0.363 0.487 H
0.662 0.306 0.763 La
0.045 0.736 0.303 Cs
```

relative energy among the computed polymorphs = 93.4 meV/atom

---

(17)
CsLaH2: optimized geometry, GGA-PBE.

The structure in POSCAR format:
```
CsLaH2
1.0
4.807 0.000 0.000
0.000 4.807 0.000
0.000 0.000 4.425
La Cs H
1 1 2
Direct
0.500 0.500 0.500 La
0.000 0.000 0.000 Cs
0.500 0.000 0.500 H
0.000 0.500 0.500 H
```

relative energy among the computed polymorphs = 117.3 meV/atom

---

(18)
Cs2LaH2: optimized geometry, GGA-PBE.

The structure in POSCAR format:
```
Cs2LaH2
1.0
-0.367 3.959 6.205
-3.616 -1.230 0.571
2.417 -6.961 0.302
La Cs H
1 2 2
Direct
0.407 0.000 0.701 La
0.764 0.000 0.343 Cs
0.105 0.500 0.001 Cs
0.179 0.500 0.598 H
0.511 0.500 0.928 H
```

relative energy among the computed polymorphs = 115.9 meV/atom

---

(19)
CsLa3H: optimized geometry, GGA-PBE.

The structure in POSCAR format:
```
CsLa3H
1.0
5.969 0.000 0.000
0.000 5.969 0.000
0.000 0.000 5.969
La H Cs
3 1 1
Direct
0.000 0.000 0.500 La
0.000 0.500 0.000 La
0.500 0.000 0.000 La
0.500 0.500 0.500 H
0.000 0.000 0.000 Cs
```

relative energy among the computed polymorphs = 1232.0 meV/atom

---

(20)
CsLaH2: optimized geometry, GGA-PBE.

The structure in POSCAR format:
```
CsLaH2
1.0
7.707 0.000 -0.022
0.000 3.959 0.000
-2.013 0.000 6.550
H La Cs
4 2 2
Direct
0.214 0.000 0.017 H
0.459 0.000 0.432 H
0.459 0.500 0.932 H
0.214 0.500 0.517 H
0.309 0.000 0.715 La
0.309 0.500 0.215 La
0.789 0.000 0.874 Cs
0.789 0.500 0.374 Cs
```

relative energy among the computed polymorphs = 0.0 meV/atom

---

(21)
Cs2LaH2: optimized geometry, GGA-PBE.

The structure in POSCAR format:
```
Cs2LaH2
1.0
3.731 -0.001 0.000
-1.767 7.132 0.000
-0.617 -3.591 6.803
Cs La H
2 1 2
Direct
0.180 0.626 0.384 Cs
0.421 0.923 0.975 Cs
0.533 0.259 0.678 La
0.928 0.042 0.680 H
0.706 0.580 0.679 H
```

relative energy among the computed polymorphs = 145.2 meV/atom

---

(22)
Cs2LaH2: optimized geometry, GGA-PBE.

The structure in POSCAR format:
```
Cs2LaH2
1.0
-3.330 2.528 -1.165
-2.579 -2.120 2.774
8.509 11.729 16.875
H La Cs
4 2 4
Direct
0.944 0.000 0.784 H
0.364 0.500 0.702 H
0.364 0.000 0.202 H
0.944 0.500 0.284 H
0.904 0.500 0.743 La
0.904 0.000 0.243 La
0.548 0.000 0.891 Cs
0.261 0.000 0.595 Cs
0.548 0.500 0.391 Cs
0.261 0.500 0.095 Cs
```

relative energy among the computed polymorphs = 58.5 meV/atom

---

(23)
CsLaH2: optimized geometry, GGA-PBE.

The structure in POSCAR format:
```
CsLaH2
1.0
-1.888 -3.458 0.915
1.418 0.204 3.699
-5.950 3.869 2.068
Cs H La
1 2 1
Direct
0.661 0.000 0.659 Cs
0.655 0.500 0.357 H
0.158 0.500 0.529 H
0.153 0.500 0.227 La
```

relative energy among the computed polymorphs = 138.0 meV/atom

---

(24)
CsLa2H: optimized geometry, GGA-PBE.

The structure in POSCAR format:
```
CsLa2H
1.0
0.000 3.918 3.918
3.918 0.000 3.918
3.918 3.918 0.000
La Cs H
2 1 1
Direct
0.750 0.750 0.750 La
0.250 0.250 0.250 La
0.500 0.500 0.500 Cs
0.000 0.000 0.000 H
```

relative energy among the computed polymorphs = 720.4 meV/atom

---

(25)
Cs2LaH2: optimized geometry, GGA-PBE.

The structure in POSCAR format:
```
Cs2LaH2
1.0
-3.869 0.081 1.819
-1.803 -0.005 -3.835
-3.019 -11.269 -0.868
La Cs H
1 2 2
Direct
0.059 0.778 0.555 La
0.389 0.107 0.889 Cs
0.690 0.405 0.292 Cs
0.160 0.874 0.354 H
0.596 0.815 0.480 H
```

relative energy among the computed polymorphs = 78.1 meV/atom

---

Ordered total DFT energy (no corrections) results: -2.27, -2.74, -2.56, -3.00, -2.88, -2.73, -2.57, -2.52, -1.63, -1.71, -3.31, -2.60, -1.70, -1.41, -2.33, -3.21, -3.19, -2.64, -2.33, -3.31, -2.61, -2.69, -3.17, -2.60, -2.67; unit eV per atom.
Ordered total magnetization results: 1.02, 0.00, 0.00, 0.00, 0.00, 0.00, 0.00, 0.00, 0.50, 0.00, 2.00, 0.00, 0.00, 0.00, 0.00, 0.10, 0.00, 0.09, 0.00, 0.00, 0.11, 0.96, 0.00, 0.00, 0.12; unit μB per formula unit.